Computed, not measured: a geometry-optimized TaV3N structure at the PBE level of DFT.

Output
The energy above the most stable polymorph in this dataset is 0 meV/atom. As for the uncorrected formation energy: -473 meV/atom. As for the volume: 12.85 A^3/atom.

Cell and atoms, written as CIF:
```
data_TaV3N
_cell_length_a 4.005
_cell_length_b 4.005
_cell_length_c 4.005
_cell_angle_alpha 90.00
_cell_angle_beta 90.00
_cell_angle_gamma 90.00
_space_group_name_H-M_alt 'P m -3 m'
_space_group_IT_number 221
_space_group_name_Hall '-P 4 2 3'
loop_
_atom_site_label
_atom_site_fract_x
_atom_site_fract_y
_atom_site_fract_z
Ta1 0.000 0.000 0.000
V1 0.000 0.500 0.500
N1 0.500 0.500 0.500
```